# 1
Here is a relaxed CrTeH2 crystal from Alexandria. Energies are from PBE.

Lattice parameters (Å, degrees): 4.370 4.370 6.092 68.98 68.98 90.00
Positions (direct):
Cr 0.500 0.500 0.000
Cr 0.250 0.750 0.500
Te 0.000 0.000 0.000
Te 0.750 0.250 0.500
H 0.375 0.125 0.250
H 0.375 0.625 0.250
H 0.375 0.625 0.750
H 0.875 0.625 0.750

## Properties
Excess energy over the best structure of this formula in the dataset in meV per atom: 0
E_tot in eV/atom: -4.4899
D(E_F) in states/eV/cell: 4.34
Space-group type: I4_1/amd

---

# 2
Here is a relaxed ScCd6Ag2 crystal from Alexandria. Energies are from PBE.

Lattice parameters (Å, degrees): 7.935 7.849 7.935 64.23 91.02 64.23
Positions (direct):
Sc 0.806 0.750 0.194
Sc 0.194 0.250 0.806
Cd 0.415 0.523 0.675
Cd 0.325 0.977 0.585
Cd 0.585 0.477 0.325
Cd 0.675 0.023 0.415
Cd 0.932 0.142 0.627
Cd 0.373 0.358 0.068
Cd 0.068 0.858 0.373
Cd 0.627 0.642 0.932
Cd 0.198 0.808 0.026
Cd 0.974 0.692 0.802
Cd 0.802 0.192 0.974
Cd 0.026 0.308 0.198
Ag 0.403 0.928 0.241
Ag 0.759 0.572 0.597
Ag 0.597 0.072 0.759
Ag 0.241 0.428 0.403

## Properties
Excess energy over the best structure of this formula in the dataset in meV per atom: 0
E_tot in eV/atom: -1.9961
D(E_F) in states/eV/cell: 7.83
Space-group type: C2/c
ΔH_f (0 K) in eV per atom: -0.0489

---

# 3
Here is a relaxed Y11Ir4Pb9 crystal from Alexandria. Energies are from PBE.

Lattice parameters (Å, degrees): 3.760 13.354 13.354 112.21 90.00 90.00
Positions (direct):
Y 0.000 0.582 0.916
Y 0.000 0.418 0.084
Y 0.000 0.916 0.582
Y 0.000 0.084 0.418
Y 0.000 0.627 0.373
Y 0.000 0.373 0.627
Y 0.000 0.839 0.161
Y 0.000 0.161 0.839
Y 0.000 0.000 0.000
Y 0.000 0.688 0.688
Y 0.000 0.312 0.312
Ir 0.500 0.550 0.753
Ir 0.500 0.450 0.247
Ir 0.500 0.753 0.550
Ir 0.500 0.247 0.450
Pb 0.500 0.629 0.148
Pb 0.500 0.371 0.852
Pb 0.500 0.148 0.629
Pb 0.500 0.852 0.371
Pb 0.500 0.783 0.932
Pb 0.500 0.217 0.068
Pb 0.500 0.932 0.783
Pb 0.500 0.068 0.217
Pb 0.500 0.500 0.500

## Properties
E_tot in eV/atom: -6.4154
D(E_F) in states/eV/cell: 14.67
Space-group type: Cmmm
ΔH_f (0 K) in eV per atom: -0.5853

---

# 4
Here is a relaxed Ca2TcRuO6 crystal from Alexandria. Energies are from PBE.

Lattice parameters (Å, degrees): 3.951 5.606 5.606 90.00 90.00 90.00
Positions (direct):
Ca 0.059 0.500 0.000
Ca 0.059 0.000 0.500
Tc 0.644 0.000 0.000
Ru 0.649 0.500 0.500
O 0.681 0.248 0.248
O 0.681 0.248 0.752
O 0.156 0.500 0.500
O 0.155 0.000 0.000
O 0.681 0.752 0.752
O 0.681 0.752 0.248

## Properties
E_tot in eV/atom: -7.1449
D(E_F) in states/eV/cell: 5.17
Space-group type: P4mm

---

# 5
Here is a relaxed PrTmThSc crystal from Alexandria. Energies are from PBE.

Lattice parameters (Å, degrees): 3.540 3.541 11.444 90.01 98.89 120.00
Positions (direct):
Pr 0.965 0.381 0.361
Tm 0.476 0.136 0.627
Th 0.307 0.551 0.874
Sc 0.130 0.963 0.108

## Properties
Excess energy over the best structure of this formula in the dataset in meV per atom: 0
E_tot in eV/atom: -5.7067
D(E_F) in states/eV/cell: 6.37
Space-group type: R3m
ΔH_f (0 K) in eV per atom: 0.0439

---

# 6
Here is a relaxed Nd3EuCo crystal from Alexandria. Energies are from PBE.

Lattice parameters (Å, degrees): 5.517 5.517 5.517 90.00 90.00 90.00
Positions (direct):
Eu 0.500 0.500 0.500
Co 0.000 0.000 0.000
Nd 0.000 0.500 0.000
Nd 0.000 0.000 0.500
Nd 0.500 0.000 0.000

## Properties
E_tot in eV/atom: -6.3053
D(E_F) in states/eV/cell: 6.71
Space-group type: Pm-3m
ΔH_f (0 K) in eV per atom: 0.0315

---

# 7
Here is a relaxed SmEr4Mg crystal from Alexandria. Energies are from PBE.

Lattice parameters (Å, degrees): 8.718 6.486 8.252 109.71 119.12 96.06
Positions (direct):
Sm 0.660 0.910 0.821
Sm 0.340 0.090 0.179
Er 0.232 0.000 0.645
Er 0.976 0.735 0.119
Er 0.087 0.356 0.355
Er 0.357 0.617 0.881
Er 0.768 0.000 0.355
Er 0.913 0.644 0.645
Er 0.024 0.265 0.881
Er 0.643 0.383 0.119
Mg 0.408 0.658 0.316
Mg 0.592 0.342 0.684

## Properties
Excess energy over the best structure of this formula in the dataset in meV per atom: 62
E_tot in eV/atom: -4.0387
D(E_F) in states/eV/cell: 18.71
Space-group type: C2/c
ΔH_f (0 K) in eV per atom: 0.0555

---

Please write out number 1 again, unchanged.
Here is a relaxed CrTeH2 crystal from Alexandria. Energies are from PBE.

Lattice parameters (Å, degrees): 4.370 4.370 6.092 68.98 68.98 90.00
Positions (direct):
Cr 0.500 0.500 0.000
Cr 0.250 0.750 0.500
Te 0.000 0.000 0.000
Te 0.750 0.250 0.500
H 0.375 0.125 0.250
H 0.375 0.625 0.250
H 0.375 0.625 0.750
H 0.875 0.625 0.750

## Properties
Excess energy over the best structure of this formula in the dataset in meV per atom: 0
E_tot in eV/atom: -4.4899
D(E_F) in states/eV/cell: 4.34
Space-group type: I4_1/amd

---

> Which value of E_tot does entry 7 give?

-4.0387 eV/atom

---

Repeat the third record exactly.
Here is a relaxed Y11Ir4Pb9 crystal from Alexandria. Energies are from PBE.

Lattice parameters (Å, degrees): 3.760 13.354 13.354 112.21 90.00 90.00
Positions (direct):
Y 0.000 0.582 0.916
Y 0.000 0.418 0.084
Y 0.000 0.916 0.582
Y 0.000 0.084 0.418
Y 0.000 0.627 0.373
Y 0.000 0.373 0.627
Y 0.000 0.839 0.161
Y 0.000 0.161 0.839
Y 0.000 0.000 0.000
Y 0.000 0.688 0.688
Y 0.000 0.312 0.312
Ir 0.500 0.550 0.753
Ir 0.500 0.450 0.247
Ir 0.500 0.753 0.550
Ir 0.500 0.247 0.450
Pb 0.500 0.629 0.148
Pb 0.500 0.371 0.852
Pb 0.500 0.148 0.629
Pb 0.500 0.852 0.371
Pb 0.500 0.783 0.932
Pb 0.500 0.217 0.068
Pb 0.500 0.932 0.783
Pb 0.500 0.068 0.217
Pb 0.500 0.500 0.500

## Properties
E_tot in eV/atom: -6.4154
D(E_F) in states/eV/cell: 14.67
Space-group type: Cmmm
ΔH_f (0 K) in eV per atom: -0.5853

---

> Which of these has the highest D(E_F)?

SmEr4Mg